Record 1
# BaZn2SnAu

An optimized crystal structure of BaZn2SnAu (PBE-GGA, OQMD via LeMat-Bulk).

Summary:
* E: -2.800 eV per atom

abc: 4.635 4.635 11.446
angles: 90.00 90.00 90.00
Space group I4mm (No. 107)
Symmetry-distinct sites (fractional):
Ba1 0.000 0.000 0.000 x2
Zn1 0.000 0.500 0.258 x4
Sn1 0.000 0.000 0.624 x2
Au1 0.000 0.000 0.375 x2

=====

Record 2
# TlCu5Se3

An optimized crystal structure of TlCu5Se3 (PBE-GGA, OQMD via LeMat-Bulk).

Summary:
* E: -3.645 eV per atom

abc: 12.895 12.895 3.952
angles: 90.00 90.00 90.00
Space group P4_2/mnm (No. 136)
Symmetry-distinct sites (fractional):
Tl1 0.106 0.106 0.000 x4
Cu1 0.012 0.397 0.000 x8
Cu2 0.082 0.710 0.500 x8
Cu3 0.182 0.818 0.000 x4
Se1 0.103 0.897 0.500 x4
Se2 0.116 0.323 0.500 x8

=====

Record 3
# CsOsAu

An optimized crystal structure of CsOsAu (PBE-GGA, OQMD via LeMat-Bulk).

Summary:
* E: -3.164 eV per atom
* M_tot: 1.02 μB/atom

abc: 7.326 7.326 7.326
angles: 90.00 90.00 90.00
Space group F-43m (No. 216)
Symmetry-distinct sites (fractional):
Cs1 0.000 0.000 0.000 x4
Os1 0.000 0.000 0.500 x4
Au1 0.250 0.250 0.250 x4

=====

Record 4
# MgBeZnPb

An optimized crystal structure of MgBeZnPb (PBE-GGA, OQMD via LeMat-Bulk).

Summary:
* E: -2.148 eV per atom

abc: 6.756 6.756 6.756
angles: 90.00 90.00 90.00
Space group F-43m (No. 216)
Symmetry-distinct sites (fractional):
Mg1 0.000 0.000 0.000 x4
Be1 0.000 0.000 0.500 x4
Zn1 0.250 0.250 0.250 x4
Pb1 0.250 0.250 0.750 x4